[1]
A relaxed structure of Tb5Dy2YIn. Source: Alexandria via LeMat-Bulk, functional PBE.

a = 5.3819 Å, b = 19.9514 Å, c = 10.6125 Å
α = 90.00°, β = 90.00°, γ = 90.00°
Space group Cmc2_1 (No. 36)
One atom of each set of equivalent atoms:
Tb: 0.0000 0.0001 0.0000 [4 per cell]
Tb: 0.0000 0.1159 0.2503 [4 per cell]
Tb: 0.0000 0.2092 0.9516 [4 per cell]
Tb: 0.0000 0.2097 0.5492 [4 per cell]
Tb: 0.0000 0.4864 0.2504 [4 per cell]
Dy: 0.0000 0.3842 0.5441 [4 per cell]
Dy: 0.0000 0.3840 0.9565 [4 per cell]
Y: 0.0000 0.2937 0.2504 [4 per cell]
In: 0.0000 0.0952 0.7497 [4 per cell]

formation energy = -7 meV per atom
calculated volume = 31.7 Å³/atom
magnetization = 0.0 μB/cell

[2]
A relaxed structure of Be3NiH. Source: Alexandria via LeMat-Bulk, functional PBE.

a = 3.3052 Å, b = 3.3052 Å, c = 3.3052 Å
α = 90.00°, β = 90.00°, γ = 90.00°
Space group Pm-3m (No. 221)
One atom of each set of equivalent atoms:
Be: 0.0000 0.0000 0.5000 [3 per cell]
Ni: 0.5000 0.5000 0.5000 [1 per cell]
H: 0.0000 0.0000 0.0000 [1 per cell]

calculated volume = 7.2 Å³/atom
magnetization = 0.0 μB/cell
energy above the lowest structure with this stoichiometry = 0 meV/atom

> The lowest calculated volume belongs to which entry?

Be3NiH

Please write out number 2 again, unchanged.
A relaxed structure of Be3NiH. Source: Alexandria via LeMat-Bulk, functional PBE.

a = 3.3052 Å, b = 3.3052 Å, c = 3.3052 Å
α = 90.00°, β = 90.00°, γ = 90.00°
Space group Pm-3m (No. 221)
One atom of each set of equivalent atoms:
Be: 0.0000 0.0000 0.5000 [3 per cell]
Ni: 0.5000 0.5000 0.5000 [1 per cell]
H: 0.0000 0.0000 0.0000 [1 per cell]

calculated volume = 7.2 Å³/atom
magnetization = 0.0 μB/cell
energy above the lowest structure with this stoichiometry = 0 meV/atom

> Which formula does entry 1 have?

Tb5Dy2YIn